Computed, not measured: crystalline TaTi2Co at its relaxed geometry at the GGA-PBE level of DFT.

Cell lengths 3.187, 4.387, 4.387 Å; angles 90.00, 90.00, 90.00 degrees
Atoms (fractional coordinates):
Ti1 0.000 0.500 0.000
Ti2 0.000 0.000 0.500
Co1 0.500 0.500 0.500
Ta1 0.500 0.000 0.000

Results
ΔE to the lowest computed polymorph	139	meV per atom
formation energy	-0.047	eV per atom
crystal system	tetragonal
space-group type	P4/mmm
spin magnetization	0.0	μB/cell
uncorrected energy	-8.73	eV/atom

Computed, not measured: crystalline CeEuNiHg at its relaxed geometry at the GGA-PBE level of DFT.

Cell lengths 5.204, 5.204, 5.204 Å; angles 60.00, 60.00, 60.00 degrees
Atoms (fractional coordinates):
Ni1 0.250 0.250 0.250
Eu1 0.000 0.000 0.000
Hg1 0.750 0.750 0.750
Ce1 0.500 0.500 0.500

Results
formation energy	-0.173	eV per atom
crystal system	cubic
space-group type	F-43m
spin magnetization	7.8	μB/cell
uncorrected energy	-5.75	eV/atom

Computed, not measured: crystalline NaY2TmTe4 at its relaxed geometry at the GGA-PBE level of DFT.

Cell lengths 4.337, 7.594, 7.616 Å; angles 108.83, 90.00, 90.00 degrees
Atoms (fractional coordinates):
Te1 0.000 0.747 0.246
Te2 0.500 0.746 0.750
Tm1 0.500 0.500 0.000
Te3 0.500 0.254 0.250
Y1 0.000 0.500 0.500
Na1 0.000 0.000 0.000
Te4 0.000 0.253 0.754
Y2 0.500 0.000 0.500

Results
crystal system	monoclinic
ΔE_f (raw)	-1.293	eV/atom
space-group type	P2/m
spin magnetization	0.0	μB/cell
uncorrected energy	-5.20	eV/atom

What is the uncorrected energy in the second record? -5.75 eV/atom

Which value of spin magnetization does entry 3 give? 0.0 μB/cell